Here is a relaxed Nd6P2CSe3 crystal from the Alexandria database. Energies are from PBE-GGA.

Output
Its space group is C2/m (12). The uncorrected formation energy comes out at -1516.9 meV per atom. Its uncorrected energy is -77.3 eV/f.u.

abc: 4.0935 8.4082 9.3336
angles: 104.35 102.67 90.00
Fractional positions:
Nd 0.3497 0.9157 0.6993
Nd 0.6691 0.5746 0.3383
Nd 0.6503 0.0843 0.3007
Nd 0.0015 0.2169 0.0029
Nd 0.9985 0.7831 0.9971
Nd 0.3309 0.4254 0.6617
P 0.8345 0.6675 0.6690
P 0.1655 0.3325 0.3310
C 0.5000 0.0000 0.0000
Se 0.5000 0.5000 0.0000
Se 0.8302 0.1640 0.6604
Se 0.1698 0.8360 0.3396

***

Here is a relaxed Nd8P3CSe4 crystal from the Alexandria database. Energies are from PBE-GGA.

Output
Its space group is R-3m (166). The uncorrected formation energy comes out at -1580.3 meV per atom. Its uncorrected energy is -102.8 eV/f.u.

abc: 8.2594 8.3991 8.2596
angles: 119.46 120.00 90.00
Fractional positions:
Nd 0.2315 0.7212 0.9898
Nd 0.2316 0.7213 0.4633
Nd 0.2560 0.2680 0.5119
Nd 0.7582 0.7212 0.9898
Nd 0.2418 0.2788 0.0102
Nd 0.7440 0.7320 0.4881
Nd 0.7684 0.2787 0.5367
Nd 0.7685 0.2788 0.0102
P 0.5000 0.5000 0.0000
P 0.5000 0.5000 0.5000
P 0.0000 0.5000 0.5000
C 0.0000 0.5000 0.0000
Se 0.5000 0.0000 0.0000
Se 0.5000 0.0000 0.5000
Se 0.0000 0.0000 0.0000
Se 0.0000 0.0000 0.5000